Entry from the Open Quantum Materials Database: a geometry-optimized DyTmTlB structure (PBE-GGA).

Magnetization: 0.019 Bohr magnetons per cell
Crystal system: trigonal
DFT total energy: -4.636 eV/atom

Structure (extended XYZ):
```
8
Lattice="3.616 0.000 0.000 -1.808 3.132 0.000 0.000 0.000 16.798" Properties=species:S:1:pos:R:3 pbc="T T T"
B 0.000 0.000 0.000
B 0.000 0.000 8.399
Dy 0.000 2.088 1.557
Dy 1.808 1.044 15.240
Tl 1.808 1.044 4.247
Tl 0.000 2.088 12.551
Tm 0.000 2.088 6.900
Tm 1.808 1.044 9.898
```